1.
Zr2GaFe2Ru5 (PBE, optimized geometry); E_form = -0.16 eV/atom
1.0
-0.214 3.808 -0.164
-6.597 -0.629 -6.005
-6.017 -0.053 6.615
Fe Ru Zr Ga
4 10 4 2
direct
0.000 0.129 0.629
0.000 0.629 0.871
0.000 0.871 0.371
0.000 0.371 0.129
0.500 0.000 0.500
0.500 0.702 0.433
0.500 0.298 0.567
0.500 0.798 0.933
0.500 0.067 0.798
0.500 0.567 0.702
0.500 0.433 0.298
0.500 0.202 0.067
0.500 0.933 0.202
0.500 0.500 0.000
0.000 0.329 0.829
0.000 0.671 0.171
0.000 0.829 0.671
0.000 0.171 0.329
0.000 0.500 0.500
0.000 0.000 0.000

=====

2.
Y4Ir3Pt (PBE, optimized geometry); E_form = -0.89 eV/atom
1.0
-2.864 1.524 0.839
-0.905 -3.541 3.343
4.809 5.257 6.870
Ir Pt Y
3 1 4
direct
0.500 0.000 0.250
0.500 0.000 0.750
0.500 0.500 0.500
0.500 0.500 0.000
0.000 0.000 0.500
0.000 0.000 0.000
0.000 0.500 0.747
0.000 0.500 0.253

=====

3.
LaSm2Tl3Te6 (PBE, optimized geometry); VASP energy = -53.50 eV/cell
1.0
-2.572 -4.085 6.278
-1.639 -2.543 -7.319
8.299 -2.165 0.324
Te Tl La Sm
6 3 1 2
direct
0.587 0.927 0.780
0.413 0.073 0.220
0.073 0.413 0.220
0.927 0.587 0.780
0.733 0.733 0.218
0.267 0.267 0.782
0.835 0.165 0.500
0.500 0.500 0.500
0.165 0.835 0.500
0.000 0.000 0.000
0.667 0.333 0.000
0.333 0.667 0.000

=====

4.
NaLa3Os (PBE, optimized geometry); E_form = -0.07 eV/atom
1.0
-3.566 4.947 5.288
3.873 -2.023 4.502
2.793 7.512 0.972
La Na Os
6 2 2
direct
0.923 0.661 0.746
0.429 0.661 0.747
0.926 0.661 0.251
0.260 0.161 0.578
0.262 0.161 0.083
0.756 0.161 0.082
0.758 0.161 0.580
0.427 0.661 0.249
0.093 0.411 0.915
0.093 0.911 0.915